{"formula": "NbV5H4", "functional": "GGA-PBE", "state": "relaxed", "lattice": [[4.668, 0.000, 0.000], [0.000, 5.125, 0.000], [0.000, 0.000, 8.162]], "species": ["V", "H", "H", "V", "H", "Nb", "V", "V", "H", "V", "V", "Nb", "V", "V", "H", "H", "H", "V", "V", "H"], "fractional_positions": [[0.768, 0.262, 0.330], [0.474, 0.716, 0.000], [0.474, 0.284, 0.000], [0.768, 0.262, 0.670], [0.526, 0.216, 0.500], [0.761, 0.000, 0.000], [0.782, 0.500, 0.000], [0.768, 0.738, 0.670], [0.535, 0.000, 0.219], [0.768, 0.738, 0.330], [0.232, 0.762, 0.170], [0.239, 0.500, 0.500], [0.218, 0.000, 0.500], [0.232, 0.238, 0.170], [0.535, 0.000, 0.781], [0.465, 0.500, 0.719], [0.465, 0.500, 0.281], [0.232, 0.238, 0.830], [0.232, 0.762, 0.830], [0.526, 0.784, 0.500]], "dos_ef_per_ev_atom": 0.921, "crystal_system": "orthorhombic", "relative_energy_ev_per_fu": 1.48, "sg": "Pmmn (59)"}